Record 1
# CaLaZr | the Alexandria database | PBE | optimized geometry
data_CaLaZr
_symmetry_space_group_name_H-M 'R -3 m'
_symmetry_Int_Tables_number 166
_symmetry_space_group_name_Hall '-R 3 2"'
_cell_length_a 3.5149
_cell_length_b 3.5149
_cell_length_c 54.8566
_cell_angle_alpha 90.00
_cell_angle_beta 90.00
_cell_angle_gamma 120.00
loop_
_atom_site_label
_atom_site_type_symbol
_atom_site_fract_x
_atom_site_fract_y
_atom_site_fract_z
Ca1 Ca 0.0000 0.0000 0.1961
La1 La 0.0000 0.0000 0.2613
Zr1 Zr 0.0000 0.0000 0.3552
# * formation enthalpy at 0 K: 188.5 meV/atom
# * N(E_F): 1.262 states/eV per atom
# * offset from the most stable computed form: 0.00 eV per formula unit

---

Record 2
# CaLa2Zr | the Alexandria database | PBE | optimized geometry
data_CaLa2Zr
_symmetry_space_group_name_H-M 'C m m 2'
_symmetry_Int_Tables_number 35
_symmetry_space_group_name_Hall 'C 2 -2'
_cell_length_a 3.6411
_cell_length_b 5.9137
_cell_length_c 12.2171
_cell_angle_alpha 90.00
_cell_angle_beta 90.00
_cell_angle_gamma 90.00
loop_
_atom_site_label
_atom_site_type_symbol
_atom_site_fract_x
_atom_site_fract_y
_atom_site_fract_z
Ca1 Ca 0.0000 0.0000 0.0000
La1 La 0.0000 0.0000 0.5475
La2 La 0.0000 0.5000 0.2786
Zr1 Zr 0.0000 0.5000 0.7653
# * formation enthalpy at 0 K: 252.8 meV/atom
# * N(E_F): 1.827 states/eV per atom
# * offset from the most stable computed form: 0.53 eV per formula unit

---

Record 3
# CaLa2Zr | the Alexandria database | PBE | optimized geometry
data_CaLa2Zr
_symmetry_space_group_name_H-M 'P 1 2/m 1'
_symmetry_Int_Tables_number 10
_symmetry_space_group_name_Hall '-P 2y'
_cell_length_a 3.4724
_cell_length_b 5.6717
_cell_length_c 6.7034
_cell_angle_alpha 90.00
_cell_angle_beta 96.96
_cell_angle_gamma 90.00
loop_
_atom_site_label
_atom_site_type_symbol
_atom_site_fract_x
_atom_site_fract_y
_atom_site_fract_z
Ca1 Ca 0.0000 0.0000 0.0000
La1 La 0.2960 0.5000 0.7137
Zr1 Zr 0.5000 0.0000 0.5000
# * formation enthalpy at 0 K: 249.6 meV/atom
# * N(E_F): 1.452 states/eV per atom
# * offset from the most stable computed form: 0.51 eV per formula unit

---

Record 4
# Ca2LaZr | the Alexandria database | PBE | optimized geometry
data_Ca2LaZr
_symmetry_space_group_name_H-M 'I -4 2 d'
_symmetry_Int_Tables_number 122
_symmetry_space_group_name_Hall 'I -4 2bw'
_cell_length_a 9.1893
_cell_length_b 9.1893
_cell_length_c 6.4872
_cell_angle_alpha 90.00
_cell_angle_beta 90.00
_cell_angle_gamma 90.00
loop_
_atom_site_label
_atom_site_type_symbol
_atom_site_fract_x
_atom_site_fract_y
_atom_site_fract_z
Ca1 Ca 0.2322 0.7500 0.1250
La1 La 0.0000 0.0000 0.5000
Zr1 Zr 0.0000 0.0000 0.0000
# * formation enthalpy at 0 K: 618.8 meV/atom
# * N(E_F): 1.679 states/eV per atom
# * offset from the most stable computed form: 1.76 eV per formula unit

---

Record 5
# CaLaZr | the Alexandria database | PBE | optimized geometry
data_CaLaZr
_symmetry_space_group_name_H-M 'F -4 3 m'
_symmetry_Int_Tables_number 216
_symmetry_space_group_name_Hall 'F -4 2 3'
_cell_length_a 7.6707
_cell_length_b 7.6707
_cell_length_c 7.6707
_cell_angle_alpha 90.00
_cell_angle_beta 90.00
_cell_angle_gamma 90.00
loop_
_atom_site_label
_atom_site_type_symbol
_atom_site_fract_x
_atom_site_fract_y
_atom_site_fract_z
Ca1 Ca 0.0000 0.0000 0.0000
La1 La 0.0000 0.0000 0.5000
Zr1 Zr 0.2500 0.2500 0.2500
# * formation enthalpy at 0 K: 883.7 meV/atom
# * N(E_F): 2.164 states/eV per atom
# * offset from the most stable computed form: 2.09 eV per formula unit

---

Record 6
# CaLa2Zr | the Alexandria database | PBE | optimized geometry
data_CaLa2Zr
_symmetry_space_group_name_H-M 'F m -3 m'
_symmetry_Int_Tables_number 225
_symmetry_space_group_name_Hall '-F 4 2 3'
_cell_length_a 8.0640
_cell_length_b 8.0640
_cell_length_c 8.0640
_cell_angle_alpha 90.00
_cell_angle_beta 90.00
_cell_angle_gamma 90.00
loop_
_atom_site_label
_atom_site_type_symbol
_atom_site_fract_x
_atom_site_fract_y
_atom_site_fract_z
Ca1 Ca 0.0000 0.0000 0.0000
La1 La 0.2500 0.2500 0.2500
Zr1 Zr 0.0000 0.0000 0.5000
# * formation enthalpy at 0 K: 241.3 meV/atom
# * N(E_F): 1.362 states/eV per atom
# * offset from the most stable computed form: 0.48 eV per formula unit

---

Record 7
# CaLa2Zr | the Alexandria database | PBE | optimized geometry
data_CaLa2Zr
_symmetry_space_group_name_H-M 'C 1 m 1'
_symmetry_Int_Tables_number 8
_symmetry_space_group_name_Hall 'C -2y'
_cell_length_a 11.9395
_cell_length_b 3.5445
_cell_length_c 6.2799
_cell_angle_alpha 90.00
_cell_angle_beta 99.65
_cell_angle_gamma 90.00
loop_
_atom_site_label
_atom_site_type_symbol
_atom_site_fract_x
_atom_site_fract_y
_atom_site_fract_z
Ca1 Ca 0.0000 0.0000 0.0000
La1 La 0.0160 0.5000 0.5236
La2 La 0.2607 0.5000 0.2731
Zr1 Zr 0.2534 0.0000 0.7408
# * formation enthalpy at 0 K: 218.7 meV/atom
# * N(E_F): 1.470 states/eV per atom
# * offset from the most stable computed form: 0.39 eV per formula unit

---

Record 8
# CaLa2Zr | the Alexandria database | PBE | optimized geometry
data_CaLa2Zr
_symmetry_space_group_name_H-M 'I m m m'
_symmetry_Int_Tables_number 71
_symmetry_space_group_name_Hall '-I 2 2'
_cell_length_a 3.5769
_cell_length_b 6.1525
_cell_length_c 12.1775
_cell_angle_alpha 90.00
_cell_angle_beta 90.00
_cell_angle_gamma 90.00
loop_
_atom_site_label
_atom_site_type_symbol
_atom_site_fract_x
_atom_site_fract_y
_atom_site_fract_z
Ca1 Ca 0.0000 0.0000 0.0000
La1 La 0.0000 0.5000 0.2189
Zr1 Zr 0.0000 0.0000 0.5000
# * formation enthalpy at 0 K: 262.3 meV/atom
# * N(E_F): 1.593 states/eV per atom
# * offset from the most stable computed form: 0.56 eV per formula unit

---

Which of these has the lowest N(E_F)?
number 1

---

formation enthalpy at 0 K of number 4 (Ca2LaZr)?
618.8 meV/atom